An optimized crystal structure of TaTi2Cu. Source: Alexandria via LeMat-Bulk, functional PBE.

Summary:
**N(E_F)**: 1.060 states/eV per atom
**Polymorph energy (0 for the lowest one)**: 0.481 eV per atom
**Energy relative to the elements**: 469 meV/atom

Lattice parameters (Å, degrees): 3.771 3.771 18.917 90.00 90.00 90.00
Space group I-42d (No. 122)
Inequivalent atoms, fractional coordinates:
Ta 0.000 0.000 0.000 x4
Ti 0.250 0.250 0.125 x8
Cu 0.000 0.000 0.500 x4

---

An optimized crystal structure of LiGaS2. Source: Alexandria via LeMat-Bulk, functional PBE.

Summary:
**Formation energy from raw total energies**: -700 meV per atom
**N(E_F)**: 0.516 states/eV per atom

Lattice parameters (Å, degrees): 3.630 3.630 4.934 90.00 90.00 90.00
Space group P4/mmm (No. 123)
Inequivalent atoms, fractional coordinates:
Li 0.000 0.000 0.000 x1
Ga 0.500 0.500 0.500 x1
S 0.000 0.000 0.500 x1
S 0.500 0.500 0.000 x1

---

An optimized crystal structure of MgCr2Ni. Source: Alexandria via LeMat-Bulk, functional PBE.

Summary:
**N(E_F)**: 0.698 states/eV per atom
**Energy relative to the elements**: 274 meV/atom

Lattice parameters (Å, degrees): 3.088 4.363 8.115 90.00 90.00 90.00
Space group Imm2 (No. 44)
Inequivalent atoms, fractional coordinates:
Mg 0.000 0.000 0.000 x2
Cr 0.000 0.000 0.501 x2
Cr 0.000 0.500 0.223 x2
Ni 0.000 0.500 0.754 x2

---

An optimized crystal structure of SrGaSeO2. Source: Alexandria via LeMat-Bulk, functional PBE.

Summary:
**Formation energy from raw total energies**: -1649 meV per atom
**N(E_F)**: 0.663 states/eV per atom

Lattice parameters (Å, degrees): 5.927 12.547 5.545 90.00 90.00 90.00
Space group Cmcm (No. 63)
Inequivalent atoms, fractional coordinates:
Sr 0.000 0.107 0.250 x4
Ga 0.000 0.482 0.750 x4
Se 0.000 0.270 0.750 x4
O 0.224 0.500 0.000 x8

---

Number 1: total moment 0.00 μB/cell. Number 2: total moment 0.00 μB/cell. Number 3: total moment 0.20 μB/cell. Number 4: total moment 3.97 μB/cell.